## Zr2TiAg (PBE-GGA)

Data for crystalline Zr2TiAg at its relaxed geometry.

a = 4.0863 Å, b = 4.0863 Å, c = 20.4370 Å
α = 90.00°, β = 90.00°, γ = 90.00°
Space group I-42d (No. 122)
Inequivalent atoms, fractional coordinates:
Zr (0.2487, 0.2500, 0.1250) x8
Ti (0.0000, 0.0000, 0.0000) x4
Ag (0.0000, 0.0000, 0.5000) x4

Computed properties:
ΔE to the lowest computed polymorph ... 0.5536 eV/atom
Theoretical density ... 6.58 g cm⁻³
Calculated formation energy ... 0.4881 eV per atom